{
  "formula": "AcPrCrO4",
  "functional": "GGA+U",
  "state": "optimized geometry",
  "lattice": [[3.951, 0.000, 0.000], [0.000, 3.951, 0.000], [-1.976, -1.976, 6.657]],
  "species": ["Ac", "Pr", "Cr", "O", "O", "O", "O"],
  "fractional_positions": [[0.642, 0.642, 0.284], [0.365, 0.365, 0.731], [0.996, 0.996, 0.992], [0.994, 0.494, 0.988], [0.494, 0.994, 0.988], [0.819, 0.819, 0.638], [0.190, 0.190, 0.379]],
  "energy_ev_per_fu": -55.34,
  "crystal_system": "tetragonal"
}

***

{
  "formula": "Rb3Er2MnO6",
  "functional": "GGA+U",
  "state": "optimized geometry",
  "lattice": [[-2.795, 5.096, -0.384], [-0.404, -2.915, 5.027], [6.457, 2.276, 0.517]],
  "species": ["Rb", "Rb", "Rb", "Er", "Er", "Mn", "O", "O", "O", "O", "O", "O"],
  "fractional_positions": [[0.166, 0.834, 0.500], [0.834, 0.166, 0.500], [0.500, 0.500, 0.500], [0.336, 0.664, 0.000], [0.664, 0.336, 0.000], [0.000, 0.000, 0.000], [0.941, 0.639, 0.841], [0.710, 0.710, 0.196], [0.059, 0.361, 0.159], [0.639, 0.941, 0.841], [0.290, 0.290, 0.804], [0.361, 0.059, 0.159]],
  "energy_ev_per_fu": -76.39,
  "crystal_system": "monoclinic"
}